Below is an optimized crystal structure of LiHoGePt, with properties calculated at the PBE level.

Summary:
Total moment = 0.0 μB per cell
Energy relative to the lowest polymorph listed for this composition = 444 meV/atom
E_form = -0.405 eV/atom

Geometry as CIF:
```
data_LiHoGePt
_symmetry_space_group_name_H-M 'P 1'
_symmetry_Int_Tables_number 1
_cell_length_a 4.266
_cell_length_b 4.266
_cell_length_c 7.857
_cell_angle_alpha 105.78
_cell_angle_beta 105.78
_cell_angle_gamma 60.03
loop_
_symmetry_equiv_pos_as_xyz
'x,y,z'
loop_
_atom_site_label
_atom_site_type_symbol
_atom_site_fract_x
_atom_site_fract_y
_atom_site_fract_z
_atom_site_occupancy
Li1 Li 0.000 0.000 0.000 1
Ho1 Ho 0.835 0.835 0.512 1
Ge1 Ge 0.415 0.415 0.251 1
Pt1 Pt 0.110 0.110 0.338 1
```